Here is an optimized crystal structure of CeTl2Cr3F12 from Alexandria via LeMat-Bulk. Energies are from PBE with a Hubbard U.

Properties
Its total energy is -0.4157 Ry per atom. For the magnetic moment, the calculation gives 0.459 μB/atom.

Geometry as CIF:
```
data_CeTl2Cr3F12
_chemical_formula_sum 'Ce1 Tl2 Cr3 F12'
_cell_length_a 7.176
_cell_length_b 7.176
_cell_length_c 7.176
_cell_angle_alpha 64.61
_cell_angle_beta 64.61
_cell_angle_gamma 64.61
_symmetry_space_group_name_H-M 'P 1'
_symmetry_Int_Tables_number 1
_symmetry_space_group_name_Hall 'P 1'
loop_
_atom_site_label
_atom_site_fract_x
_atom_site_fract_y
_atom_site_fract_z
F1 0.097 0.729 0.729
F2 0.729 0.097 0.729
Cr1 0.000 0.000 0.500
F3 0.127 0.127 0.602
Tl1 0.616 0.616 0.616
Tl2 0.384 0.384 0.384
Ce1 0.000 0.000 0.000
F4 0.602 0.127 0.127
F5 0.398 0.873 0.873
F6 0.271 0.903 0.271
F7 0.873 0.398 0.873
F8 0.729 0.729 0.097
Cr2 0.000 0.500 0.000
F9 0.271 0.271 0.903
Cr3 0.500 0.000 0.000
F10 0.873 0.873 0.398
F11 0.127 0.602 0.127
F12 0.903 0.271 0.271
```